No. 1
A plane-wave DFT calculation with GGA-PBE was carried out for an optimized crystal structure of Ce3B2P3.

Formation energy from the elements ... -0.851 eV per atom
Space group ... Cmmm

The structure in POSCAR format:
```
Ce3B2P3
1.0
3.570 0.000 0.000
0.000 19.046 0.000
0.000 0.000 4.225
Ce B P
6 4 6
Direct
0.000 0.000 0.000 Ce
0.000 0.167 0.500 Ce
0.000 0.833 0.500 Ce
0.500 0.333 0.500 Ce
0.500 0.500 0.000 Ce
0.500 0.667 0.500 Ce
0.000 0.269 0.000 B
0.000 0.731 0.000 B
0.500 0.231 0.000 B
0.500 0.769 0.000 B
0.000 0.372 0.000 P
0.000 0.500 0.500 P
0.000 0.628 0.000 P
0.500 0.000 0.500 P
0.500 0.128 0.000 P
0.500 0.872 0.000 P
```

=====

No. 2
A plane-wave DFT calculation with GGA-PBE was carried out for an optimized crystal structure of U2ZnSi3Pt4.

Formation energy (no corrections) ... -705 meV per atom
Space group ... P-4m2

The structure in POSCAR format:
```
U2ZnSi3Pt4
1.0
4.129 0.000 0.000
0.000 4.129 0.000
0.000 0.000 10.323
U Zn Si Pt
2 1 3 4
Direct
0.000 0.500 0.249 U
0.500 0.000 0.751 U
0.500 0.500 0.000 Zn
0.000 0.000 0.000 Si
0.000 0.500 0.632 Si
0.500 0.000 0.368 Si
0.000 0.000 0.500 Pt
0.000 0.500 0.861 Pt
0.500 0.000 0.139 Pt
0.500 0.500 0.500 Pt
```

=====

No. 3
A plane-wave DFT calculation with GGA-PBE was carried out for an optimized crystal structure of LiAgF2.

Formation energy (no corrections) ... -1958 meV per atom
Space group ... R-3m

The structure in POSCAR format:
```
LiAgF2
1.0
3.043 0.000 0.000
-1.521 2.635 0.000
0.000 0.000 18.995
Li Ag F
3 3 6
Direct
0.000 0.000 0.000 Li
0.333 0.667 0.667 Li
0.667 0.333 0.333 Li
0.000 0.000 0.500 Ag
0.333 0.667 0.167 Ag
0.667 0.333 0.833 Ag
0.000 0.000 0.390 F
0.000 0.000 0.610 F
0.333 0.667 0.057 F
0.333 0.667 0.277 F
0.667 0.333 0.723 F
0.667 0.333 0.943 F
```

=====

No. 4
A plane-wave DFT calculation with GGA-PBE was carried out for an optimized crystal structure of AcPrAg2Se4.

Formation energy (no corrections) ... -1136 meV per atom
Space group ... I222

The structure in POSCAR format:
```
AcPrAg2Se4
1.0
7.218 0.000 0.000
0.000 7.382 0.000
0.000 0.000 8.390
Ac Pr Ag Se
2 2 4 8
Direct
0.000 0.000 0.000 Ac
0.500 0.500 0.500 Ac
0.000 0.000 0.500 Pr
0.500 0.500 0.000 Pr
0.000 0.500 0.169 Ag
0.000 0.500 0.831 Ag
0.500 0.000 0.331 Ag
0.500 0.000 0.669 Ag
0.235 0.235 0.309 Se
0.235 0.765 0.691 Se
0.265 0.265 0.809 Se
0.265 0.735 0.191 Se
0.735 0.265 0.191 Se
0.735 0.735 0.809 Se
0.765 0.235 0.691 Se
0.765 0.765 0.309 Se
```

=====

No. 5
A plane-wave DFT calculation with GGA-PBE was carried out for an optimized crystal structure of Y2InPb.

Formation energy from the elements ... -0.187 eV per atom
Space group ... Cmm2

The structure in POSCAR format:
```
Y2InPb
1.0
5.273 0.000 0.000
0.000 5.406 0.000
0.000 0.000 8.254
Y In Pb
4 2 2
Direct
0.000 0.000 0.000 Y
0.000 0.500 0.287 Y
0.500 0.000 0.287 Y
0.500 0.500 0.000 Y
0.000 0.500 0.764 In
0.500 0.000 0.764 In
0.000 0.000 0.549 Pb
0.500 0.500 0.549 Pb
```

=====

No. 6
A plane-wave DFT calculation with GGA-PBE was carried out for an optimized crystal structure of MnCu2Au5.

Formation energy from the elements ... 0.019 eV per atom
Space group ... I4/mcm

The structure in POSCAR format:
```
MnCu2Au5
1.0
-3.452 3.452 5.586
3.452 -3.452 5.586
3.452 3.452 -5.586
Mn Cu Au
2 4 10
Direct
0.250 0.250 0.000 Mn
0.750 0.750 0.000 Mn
0.138 0.638 0.776 Cu
0.362 0.138 0.500 Cu
0.638 0.862 0.500 Cu
0.862 0.362 0.224 Cu
0.000 0.000 0.000 Au
0.001 0.812 0.500 Au
0.188 0.688 0.189 Au
0.312 0.501 0.500 Au
0.499 0.999 0.811 Au
0.500 0.500 0.000 Au
0.501 0.001 0.189 Au
0.688 0.499 0.500 Au
0.812 0.312 0.811 Au
0.999 0.188 0.500 Au
```

=====

No. 7
A plane-wave DFT calculation with GGA-PBE was carried out for an optimized crystal structure of ZrHg2Br.

Formation energy (no corrections) ... 74 meV per atom
Space group ... F-43m

The structure in POSCAR format:
```
ZrHg2Br
1.0
7.134 0.000 0.000
0.000 7.134 0.000
0.000 0.000 7.134
Zr Hg Br
4 8 4
Direct
0.000 0.000 0.000 Zr
0.000 0.500 0.500 Zr
0.500 0.000 0.500 Zr
0.500 0.500 0.000 Zr
0.000 0.000 0.500 Hg
0.000 0.500 0.000 Hg
0.250 0.250 0.250 Hg
0.250 0.750 0.750 Hg
0.500 0.000 0.000 Hg
0.500 0.500 0.500 Hg
0.750 0.250 0.750 Hg
0.750 0.750 0.250 Hg
0.250 0.250 0.750 Br
0.250 0.750 0.250 Br
0.750 0.250 0.250 Br
0.750 0.750 0.750 Br
```

=====

No. 8
A plane-wave DFT calculation with GGA-PBE was carried out for an optimized crystal structure of Nd5Pa3As12.

Formation energy from the elements ... -0.635 eV per atom
Space group ... Ia-3d

The structure in POSCAR format:
```
Nd5Pa3As12
1.0
-8.428 8.428 8.428
8.428 -8.428 8.428
8.428 8.428 -8.428
Nd Pa As
20 12 48
Direct
0.000 0.000 0.000 Nd
0.000 0.000 0.500 Nd
0.000 0.500 0.000 Nd
0.000 0.500 0.500 Nd
0.125 0.750 0.875 Nd
0.125 0.875 0.250 Nd
0.250 0.125 0.875 Nd
0.250 0.625 0.375 Nd
0.375 0.250 0.625 Nd
0.375 0.625 0.750 Nd
0.500 0.000 0.000 Nd
0.500 0.000 0.500 Nd
0.500 0.500 0.000 Nd
0.500 0.500 0.500 Nd
0.625 0.375 0.250 Nd
0.625 0.750 0.375 Nd
0.750 0.375 0.625 Nd
0.750 0.875 0.125 Nd
0.875 0.125 0.750 Nd
0.875 0.250 0.125 Nd
0.125 0.250 0.375 Pa
0.125 0.375 0.750 Pa
0.250 0.375 0.125 Pa
0.250 0.875 0.625 Pa
0.375 0.125 0.250 Pa
0.375 0.750 0.125 Pa
0.625 0.250 0.875 Pa
0.625 0.875 0.750 Pa
0.750 0.125 0.375 Pa
0.750 0.625 0.875 Pa
0.875 0.625 0.250 Pa
0.875 0.750 0.625 Pa
0.073 0.245 0.149 As
0.073 0.328 0.924 As
0.076 0.649 0.404 As
0.076 0.927 0.672 As
0.096 0.745 0.672 As
0.096 0.851 0.424 As
0.149 0.073 0.245 As
0.149 0.576 0.904 As
0.172 0.245 0.596 As
0.172 0.427 0.576 As
0.245 0.149 0.073 As
0.245 0.596 0.172 As
0.255 0.328 0.904 As
0.255 0.427 0.351 As
0.328 0.904 0.255 As
0.328 0.924 0.073 As
0.351 0.255 0.427 As
0.351 0.596 0.924 As
0.404 0.076 0.649 As
0.404 0.828 0.755 As
0.424 0.096 0.851 As
0.424 0.828 0.573 As
0.427 0.351 0.255 As
0.427 0.576 0.172 As
0.573 0.424 0.828 As
0.573 0.649 0.745 As
0.576 0.172 0.427 As
0.576 0.904 0.149 As
0.596 0.172 0.245 As
0.596 0.924 0.351 As
0.649 0.404 0.076 As
0.649 0.745 0.573 As
0.672 0.076 0.927 As
0.672 0.096 0.745 As
0.745 0.573 0.649 As
0.745 0.672 0.096 As
0.755 0.404 0.828 As
0.755 0.851 0.927 As
0.828 0.573 0.424 As
0.828 0.755 0.404 As
0.851 0.424 0.096 As
0.851 0.927 0.755 As
0.904 0.149 0.576 As
0.904 0.255 0.328 As
0.924 0.073 0.328 As
0.924 0.351 0.596 As
0.927 0.672 0.076 As
0.927 0.755 0.851 As
```

=====

No. 9
A plane-wave DFT calculation with GGA-PBE was carried out for an optimized crystal structure of Er8ZnCd2.

Formation energy from the elements ... -0.126 eV per atom
Space group ... C2/m

The structure in POSCAR format:
```
Er8ZnCd2
1.0
8.885 -2.599 0.000
8.885 2.599 0.000
-1.985 0.000 6.576
Er Zn Cd
8 1 2
Direct
0.021 0.021 0.275 Er
0.197 0.197 0.797 Er
0.340 0.340 0.534 Er
0.408 0.408 0.048 Er
0.592 0.592 0.952 Er
0.660 0.660 0.466 Er
0.803 0.803 0.203 Er
0.979 0.979 0.725 Er
0.500 0.500 0.500 Zn
0.185 0.185 0.218 Cd
0.815 0.815 0.782 Cd
```

=====

No. 10
A plane-wave DFT calculation with GGA-PBE was carried out for an optimized crystal structure of YAu3.

Formation energy from the elements ... -0.664 eV per atom
Space group ... I4/mmm

The structure in POSCAR format:
```
YAu3
1.0
4.534 0.000 0.000
0.000 4.534 0.000
0.000 0.000 7.962
Y Au
2 6
Direct
0.000 0.000 0.000 Y
0.500 0.500 0.500 Y
0.000 0.000 0.500 Au
0.000 0.500 0.250 Au
0.000 0.500 0.750 Au
0.500 0.000 0.250 Au
0.500 0.000 0.750 Au
0.500 0.500 0.000 Au
```

=====

No. 11
A plane-wave DFT calculation with GGA-PBE was carried out for an optimized crystal structure of Zr2TlCd.

Formation energy from the elements ... 0.334 eV per atom
Space group ... F-43m

The structure in POSCAR format:
```
Zr2TlCd
1.0
7.230 0.000 0.000
0.000 7.230 0.000
0.000 0.000 7.230
Zr Tl Cd
8 4 4
Direct
0.000 0.000 0.000 Zr
0.000 0.500 0.500 Zr
0.250 0.250 0.250 Zr
0.250 0.750 0.750 Zr
0.500 0.000 0.500 Zr
0.500 0.500 0.000 Zr
0.750 0.250 0.750 Zr
0.750 0.750 0.250 Zr
0.250 0.250 0.750 Tl
0.250 0.750 0.250 Tl
0.750 0.250 0.250 Tl
0.750 0.750 0.750 Tl
0.000 0.000 0.500 Cd
0.000 0.500 0.000 Cd
0.500 0.000 0.000 Cd
0.500 0.500 0.500 Cd
```

=====

No. 12
A plane-wave DFT calculation with GGA-PBE was carried out for an optimized crystal structure of TmLuIr4.

Formation energy from the elements ... -0.831 eV per atom
Space group ... F-43m

The structure in POSCAR format:
```
TmLuIr4
1.0
0.000 3.763 3.763
3.763 0.000 3.763
3.763 3.763 0.000
Tm Lu Ir
1 1 4
Direct
0.000 0.000 0.000 Tm
0.750 0.750 0.750 Lu
0.375 0.375 0.375 Ir
0.375 0.375 0.875 Ir
0.375 0.875 0.375 Ir
0.875 0.375 0.375 Ir
```

=====

These records have N(E_F) values of 14.5, 19.4, 0.0, 1.5, 7.6, 6.3, 13.2, 71.6, 9.9, 4.6, 17.4, 4.7 states/eV per cell, in the order they appear.
These records have spin magnetization values of 0.39, 4.52, 0.00, 0.00, 0.00, 8.82, 0.00, 0.00, 0.00, 0.00, 10.62, 0.00 μB per cell, in the order they appear.